First-principles (PBE) data for a geometry-optimized SrBiAs2Br structure, as listed in the Alexandria database.

Structure (CIF):
```
data_SrBiAs2Br
_cell_length_a 5.4476
_cell_length_b 5.4476
_cell_length_c 5.7948
_cell_angle_alpha 90.00
_cell_angle_beta 90.00
_cell_angle_gamma 90.00
_space_group_name_H-M_alt 'P 4/m m m'
_space_group_IT_number 123
_space_group_name_Hall '-P 4 2'
loop_
_atom_site_label
_atom_site_type_symbol
_atom_site_fract_x
_atom_site_fract_y
_atom_site_fract_z
Sr1 Sr 0.0000 0.0000 0.0000
Bi1 Bi 0.5000 0.5000 0.5000
As1 As 0.0000 0.5000 0.5000
Br1 Br 0.5000 0.5000 0.0000
```

Density of states at the Fermi level ... 2.9 states/eV per cell
Total magnetization ... 0.00 μB/cell
Formation energy (no corrections) ... -0.162 eV per atom
Uncorrected energy ... -0.2550 Ry/atom